Computed, not measured: a geometry-optimized TbInNiRu structure at the PBE-GGA level of DFT.

Computed properties:
The calculation puts the volume at 71.7 Å³ per cell. As for the energy relative to the elements: -1.02 eV per formula unit. The symmetry is F-43m (216).

a b c (Å): 4.664 4.664 4.664
angles (deg): 60.00 60.00 60.00
Atoms (fractional coordinates):
1 In 0.000 0.000 0.000
2 Ni 0.250 0.250 0.250
3 Tb 0.500 0.500 0.500
4 Ru 0.750 0.750 0.750

***

Computed, not measured: a geometry-optimized TiInNi2Ru structure at the PBE-GGA level of DFT.

Computed properties:
The calculation puts the volume at 87.5 Å³ per cell. As for the energy relative to the elements: 3.39 eV per formula unit. The symmetry is P4/mmm (123).

a b c (Å): 4.417 4.487 4.417
angles (deg): 90.00 90.00 90.00
Atoms (fractional coordinates):
1 Ti 0.000 0.000 0.000
2 In 0.500 0.500 0.500
3 Ru 0.000 0.500 0.000
4 Ni 0.500 0.000 0.000
5 Ni 0.000 0.000 0.500